# 1
Below is a relaxed Mg2Al2Zn3 crystal, with properties calculated at the PBE level.

## Properties
The calculation puts the formation enthalpy at 0 K at -0.0108 eV per atom. Its magnetization is 0.00 μB per atom.

abc: 9.092 4.118 6.533
angles: 90.00 96.58 90.00
Element x y z (fractional)
Mg  0.070  0.000  0.234
Mg  0.430  0.500  0.766
Mg  0.570  0.500  0.234
Mg  0.930  0.000  0.766
Al  0.146  0.500  0.929
Al  0.354  0.000  0.071
Al  0.646  0.000  0.929
Al  0.854  0.500  0.071
Zn  0.000  0.500  0.500
Zn  0.218  0.000  0.651
Zn  0.282  0.500  0.349
Zn  0.500  0.000  0.500
Zn  0.718  0.500  0.651
Zn  0.782  0.000  0.349

***

# 2
Below is a relaxed LaBeGe3 crystal, with properties calculated at the PBE level.

## Properties
The calculation puts the formation enthalpy at 0 K at -0.1847 eV per atom. For the energy above the lowest structure with this stoichiometry, the calculation gives 0.139 eV/atom. Its magnetization is 0.00 μB per atom.

abc: 8.765 8.765 5.078
angles: 90.00 90.00 145.94
Element x y z (fractional)
La  0.104  0.896  0.750
La  0.896  0.104  0.250
Be  0.390  0.610  0.750
Be  0.610  0.390  0.250
Ge  0.022  0.470  0.750
Ge  0.470  0.022  0.250
Ge  0.500  0.500  0.000
Ge  0.500  0.500  0.500
Ge  0.530  0.978  0.750
Ge  0.978  0.530  0.250

***

# 3
Below is a relaxed ErThTlSn crystal, with properties calculated at the PBE level.

## Properties
The calculation puts the formation enthalpy at 0 K at -0.3179 eV per atom. Its magnetization is 0.00 μB per atom.

abc: 7.666 7.666 7.666
angles: 90.00 90.00 90.00
Element x y z (fractional)
Er  0.000  0.000  0.000
Er  0.000  0.500  0.500
Er  0.500  0.000  0.500
Er  0.500  0.500  0.000
Th  0.000  0.000  0.500
Th  0.000  0.500  0.000
Th  0.500  0.000  0.000
Th  0.500  0.500  0.500
Tl  0.250  0.250  0.250
Tl  0.250  0.750  0.750
Tl  0.750  0.250  0.750
Tl  0.750  0.750  0.250
Sn  0.250  0.250  0.750
Sn  0.250  0.750  0.250
Sn  0.750  0.250  0.250
Sn  0.750  0.750  0.750

***

# 4
Below is a relaxed NaAlTe crystal, with properties calculated at the PBE level.

## Properties
The calculation puts the formation energy without anion corrections at -1.3 eV per formula unit. For the energy above the lowest structure with this stoichiometry, the calculation gives 0.076 eV/atom. Its magnetization is 0.00 μB per atom.

abc: 4.756 8.152 8.514
angles: 90.00 90.00 90.00
Element x y z (fractional)
Na  0.250  0.105  0.000
Na  0.250  0.895  0.500
Na  0.750  0.395  0.000
Na  0.750  0.605  0.500
Al  0.000  0.250  0.435
Al  0.000  0.750  0.065
Al  0.500  0.250  0.565
Al  0.500  0.750  0.935
Te  0.227  0.500  0.250
Te  0.273  0.500  0.750
Te  0.727  0.000  0.750
Te  0.773  0.000  0.250

***

# 5
Below is a relaxed Tb8DyTl6 crystal, with properties calculated at the PBE level.

## Properties
The calculation puts the formation enthalpy at 0 K at -0.1400 eV per atom. Its magnetization is 0.00 μB per atom.

abc: 8.382 8.382 8.382
angles: 66.06 66.06 66.06
Element x y z (fractional)
Tb  0.057  0.724  0.391
Tb  0.167  0.167  0.167
Tb  0.276  0.609  0.943
Tb  0.391  0.057  0.724
Tb  0.609  0.943  0.276
Tb  0.724  0.391  0.057
Tb  0.833  0.833  0.833
Tb  0.943  0.276  0.609
Dy  0.500  0.500  0.500
Tl  0.104  0.437  0.769
Tl  0.231  0.896  0.563
Tl  0.437  0.769  0.104
Tl  0.563  0.231  0.896
Tl  0.769  0.104  0.437
Tl  0.896  0.563  0.231

***

# 6
Below is a relaxed DySc5In3 crystal, with properties calculated at the PBE level.

## Properties
The calculation puts the formation enthalpy at 0 K at -0.3667 eV per atom. Its magnetization is 0.00 μB per atom.

abc: 8.839 8.839 6.368
angles: 90.00 90.00 120.00
Element x y z (fractional)
Dy  0.000  0.000  0.000
Dy  0.000  0.000  0.500
Sc  0.000  0.336  0.250
Sc  0.000  0.664  0.750
Sc  0.333  0.667  0.000
Sc  0.333  0.667  0.500
Sc  0.336  0.000  0.250
Sc  0.336  0.336  0.750
Sc  0.664  0.000  0.750
Sc  0.664  0.664  0.250
Sc  0.667  0.333  0.000
Sc  0.667  0.333  0.500
In  0.000  0.337  0.750
In  0.000  0.663  0.250
In  0.337  0.000  0.750
In  0.337  0.337  0.250
In  0.663  0.000  0.250
In  0.663  0.663  0.750

***

# 7
Below is a relaxed LaCoCuIr2 crystal, with properties calculated at the PBE level.

## Properties
The calculation puts the formation enthalpy at 0 K at 2.1534 eV per atom. Its magnetization is 0.03 μB per atom.

abc: 4.912 4.912 4.981
angles: 90.00 90.00 90.00
Element x y z (fractional)
La  0.000  0.000  0.000
Co  0.500  0.500  0.500
Cu  0.000  0.000  0.500
Ir  0.000  0.500  0.000
Ir  0.500  0.000  0.000

***

# 8
Below is a relaxed ScIBr3 crystal, with properties calculated at the PBE level.

## Properties
The calculation puts the formation energy without anion corrections at -4.3 eV per formula unit. For the energy above the lowest structure with this stoichiometry, the calculation gives 0.468 eV/atom. Its magnetization is 0.20 μB per atom.

abc: 4.768 4.768 23.991
angles: 90.00 90.00 120.00
Element x y z (fractional)
Sc  0.333  0.667  0.250
Sc  0.667  0.333  0.750
I  0.000  0.000  0.000
I  0.000  0.000  0.500
Br  0.000  0.000  0.250
Br  0.000  0.000  0.750
Br  0.333  0.667  0.147
Br  0.333  0.667  0.353
Br  0.667  0.333  0.647
Br  0.667  0.333  0.853